[1]
This record from Alexandria describes a relaxed structure of ZrMo2Ru. The functional is PBE-GGA.

The calculation puts the volume at 16.7 Å³ per atom. The calculated density is 9543 kg/m3. Its total magnetization is 0.000 μB per formula unit. For the energy, the calculation gives -0.73146 Ry per atom.

It has space group Immm (No. 71), with a = 3.225 Å, b = 4.460 Å, c = 9.296 Å, α = 90.00°, β = 90.00° and γ = 90.00°. Symmetry generates all atoms from Zr at (0.000, 0.000, 0.000), Mo at (0.000, 0.500, 0.248) and Ru at (0.000, 0.000, 0.500).

***

[2]
This record from Alexandria describes a relaxed structure of Mg8NiPb2. The functional is PBE-GGA.

The calculation puts the volume at 22.5 Å³ per atom. The calculated density is 4484 kg/m3. Its total magnetization is 0.000 μB per formula unit. For the energy, the calculation gives -0.17747 Ry per atom.

It has space group C2/m (No. 12), with a = 16.215 Å, b = 4.927 Å, c = 6.808 Å, α = 90.00°, β = 114.62° and γ = 90.00°. Symmetry generates all atoms from Mg at (0.002, 0.000, 0.283), Mg at (0.123, 0.500, 0.880), Mg at (0.128, 0.500, 0.380), Mg at (0.183, 0.000, 0.689), Ni at (0.000, 0.500, 0.500) and Pb at (0.180, 0.000, 0.180).

***

[3]
This record from Alexandria describes a relaxed structure of TbHoRh4. The functional is PBE-GGA.

The calculation puts the volume at 17.9 Å³ per atom. The calculated density is 11369 kg/m3. Its total magnetization is 0.000 μB per formula unit. For the energy, the calculation gives -0.52772 Ry per atom.

It has space group F-43m (No. 216), with a = 7.546 Å, b = 7.546 Å, c = 7.546 Å, α = 90.00°, β = 90.00° and γ = 90.00°. Symmetry generates all atoms from Tb at (0.000, 0.000, 0.000), Ho at (0.250, 0.250, 0.750) and Rh at (0.125, 0.125, 0.375).

***

[4]
This record from Alexandria describes a relaxed structure of Dy4Cu3Os. The functional is PBE-GGA.

The calculation puts the volume at 20.6 Å³ per atom. The calculated density is 10364 kg/m3. Its total magnetization is 0.000 μB per formula unit. For the energy, the calculation gives -0.40336 Ry per atom.

It has space group P4/mmm (No. 123), with a = 3.428 Å, b = 3.428 Å, c = 14.053 Å, α = 90.00°, β = 90.00° and γ = 90.00°. Symmetry generates all atoms from Dy at (0.000, 0.000, 0.119), Dy at (0.000, 0.000, 0.373), Cu at (0.500, 0.500, 0.252), Cu at (0.500, 0.500, 0.500) and Os at (0.500, 0.500, 0.000).

***

[5]
This record from Alexandria describes a relaxed structure of Li5Mg2Cd. The functional is PBE-GGA.

The calculation puts the volume at 19.2 Å³ per atom. The calculated density is 2111 kg/m3. Its total magnetization is 0.000 μB per formula unit. For the energy, the calculation gives -0.13399 Ry per atom.

It has space group I4/mmm (No. 139), with a = 4.697 Å, b = 4.697 Å, c = 13.956 Å, α = 90.00°, β = 90.00° and γ = 90.00°. Symmetry generates all atoms from Li at (0.000, 0.000, 0.000), Li at (0.000, 0.500, 0.118), Mg at (0.000, 0.000, 0.253) and Cd at (0.000, 0.000, 0.500).

***

[6]
This record from Alexandria describes a relaxed structure of La3Ce2Se8. The functional is PBE-GGA.

The calculation puts the volume at 33.7 Å³ per atom. The calculated density is 5033 kg/m3. Its total magnetization is 1.030 μB per formula unit. The calculation puts the uncorrected formation energy at -1.791 eV/atom.

It has space group C2/m (No. 12), with a = 15.103 Å, b = 8.547 Å, c = 7.245 Å, α = 90.00°, β = 110.37° and γ = 90.00°. Symmetry generates all atoms from La at (0.000, 0.000, 0.000), La at (0.000, 0.263, 0.500), Ce at (0.237, 0.500, 0.161), Se at (0.109, 0.500, 0.369), Se at (0.121, 0.000, 0.436) and Se at (0.130, 0.230, 0.917).

***

[7]
This record from Alexandria describes a relaxed structure of LiVIrW. The functional is PBE-GGA.

The calculation puts the volume at 14.2 Å³ per atom. The calculated density is 12667 kg/m3. Its total magnetization is 2.435 μB per formula unit. For the energy, the calculation gives -0.60524 Ry per atom.

It has space group F-43m (No. 216), with a = 6.105 Å, b = 6.105 Å, c = 6.105 Å, α = 90.00°, β = 90.00° and γ = 90.00°. Symmetry generates all atoms from Li at (0.000, 0.000, 0.000), V at (0.250, 0.250, 0.250), Ir at (0.250, 0.250, 0.750) and W at (0.000, 0.000, 0.500).